VASP calculation (PBE) on a relaxed structure of Er3As2N.

Results
V (Å³ per cell): 121.39
Total DFT energy (no corrections) (eV per atom): -6.635

Lattice parameters (Å, degrees): 3.805 3.805 9.679 90.00 90.00 120.00
Element x y z (fractional)
1 Er 0.000 0.000 0.000
2 Er 0.333 0.667 0.635
3 Er 0.667 0.333 0.365
4 As 0.333 0.667 0.181
5 As 0.667 0.333 0.819
6 N 0.000 0.000 0.500

***

VASP calculation (PBE) on a relaxed structure of HoNiSn.

Results
V (Å³ per cell): 183.08
Total DFT energy (no corrections) (eV per atom): -5.250

Lattice parameters (Å, degrees): 6.886 6.886 4.458 90.00 90.00 120.00
Element x y z (fractional)
1 Ho 0.000 0.557 0.000
2 Ho 0.443 0.443 0.000
3 Ho 0.557 0.000 0.000
4 Ni 0.000 0.228 0.500
5 Ni 0.228 0.000 0.500
6 Ni 0.772 0.772 0.500
7 Sn 0.000 0.000 0.000
8 Sn 0.333 0.667 0.500
9 Sn 0.667 0.333 0.500